Density functional theory data (GGA+U) for an optimized crystal structure of CrNiO2.

Summary:
The value obtained for the raw total energy is -5.323 eV per atom.

```
data_CrNiO2
_chemical_formula_sum 'Cr4 Ni4 O8'
_cell_length_a 5.319
_cell_length_b 5.319
_cell_length_c 5.319
_cell_angle_alpha 90.00
_cell_angle_beta 90.00
_cell_angle_gamma 90.00
_symmetry_space_group_name_H-M 'F m -3 m'
_symmetry_Int_Tables_number 225
_symmetry_space_group_name_Hall '-F 4 2 3'
loop_
_atom_site_label
_atom_site_fract_x
_atom_site_fract_y
_atom_site_fract_z
Cr1 0.000 0.000 0.000
Ni1 0.000 0.000 0.500
O1 0.250 0.250 0.250
```